[1]
Here is a crystal of BeB3Pb relaxed with PBEsol from Alexandria. Energies are from meta-GGA SCAN.

Calculated formation energy in kcal/mol of atoms: 39.357

Cell and atoms, written as CIF:
```
data_BeB3Pb
_space_group_name_H-M_alt 'P m -3 m'
_space_group_IT_number 221
_space_group_name_Hall '-P 4 2 3'
_cell_length_a 3.948
_cell_length_b 3.948
_cell_length_c 3.948
_cell_angle_alpha 90.00
_cell_angle_beta 90.00
_cell_angle_gamma 90.00
loop_
_atom_site_label
_atom_site_fract_x
_atom_site_fract_y
_atom_site_fract_z
Be1 0.000 0.000 0.000
B1 0.000 0.000 0.500
Pb1 0.500 0.500 0.500
```


[2]
Here is a crystal of AgAs2AuBr relaxed with PBEsol from Alexandria. Energies are from meta-GGA SCAN.

Raw formation energy in meV per atom: 959

Cell and atoms, written as CIF:
```
data_AgAs2AuBr
_space_group_name_H-M_alt 'P 4/m m m'
_space_group_IT_number 123
_space_group_name_Hall '-P 4 2'
_cell_length_a 4.938
_cell_length_b 4.938
_cell_length_c 5.025
_cell_angle_alpha 90.00
_cell_angle_beta 90.00
_cell_angle_gamma 90.00
loop_
_atom_site_label
_atom_site_fract_x
_atom_site_fract_y
_atom_site_fract_z
Ag1 0.000 0.000 0.000
As1 0.000 0.500 0.000
Au1 0.500 0.500 0.500
Br1 0.000 0.000 0.500
```


[3]
Here is a crystal of Sr2PCl relaxed with PBEsol from Alexandria. Energies are from meta-GGA SCAN.

Raw formation energy in meV per atom: -1833

Cell and atoms, written as CIF:
```
data_Sr2PCl
_space_group_name_H-M_alt 'P 4/m m m'
_space_group_IT_number 123
_space_group_name_Hall '-P 4 2'
_cell_length_a 4.337
_cell_length_b 4.337
_cell_length_c 5.952
_cell_angle_alpha 90.00
_cell_angle_beta 90.00
_cell_angle_gamma 90.00
loop_
_atom_site_label
_atom_site_fract_x
_atom_site_fract_y
_atom_site_fract_z
Sr1 0.000 0.000 0.000
Sr2 0.500 0.500 0.500
P1 0.000 0.000 0.500
Cl1 0.500 0.500 0.000
```